Run A
Density functional theory data (PBE-GGA) for a relaxed Ac4Sn2I3 crystal.

Geometry as extended XYZ:
```
9
Lattice="4.859 0.000 0.000 -2.429 4.208 0.000 0.000 0.000 19.426" Properties=species:S:1:pos:R:3 pbc="T T T"
Ac 0.000 0.000 3.972
Ac 0.000 0.000 15.454
Ac 0.000 2.805 7.536
Ac 2.429 1.403 11.890
Sn 0.000 2.805 13.624
Sn 2.429 1.403 5.802
I 0.000 0.000 9.713
I 0.000 2.805 1.959
I 2.429 1.403 17.467
```



Run B
Density functional theory data (PBE-GGA) for a relaxed Ac4Sn2I3 crystal.

Geometry as extended XYZ:
```
18
Lattice="9.158 -5.919 0.000 9.158 5.919 0.000 -0.877 0.000 6.549" Properties=species:S:1:pos:R:3 pbc="T T T"
Ac 6.606 3.790 6.481
Ac 5.647 1.434 2.692
Ac 10.395 3.790 3.342
Ac 5.209 -1.434 5.966
Ac 12.231 1.434 0.583
Ac 7.045 -3.790 3.207
Ac 11.792 -1.434 3.857
Ac 10.833 -3.790 0.067
Sn 4.099 1.748 5.723
Sn 4.538 -1.748 2.448
Sn 12.902 1.748 4.100
Sn 13.340 -1.748 0.826
I 7.088 4.625 3.269
I 10.790 4.625 0.006
I 8.500 1.268 4.911
I 8.939 -1.268 1.637
I 6.649 -4.625 6.543
I 10.352 -4.625 3.280
```



Energetically preferred structure: run A | next structure: +247 meV per atom



Run A
Density functional theory data (PBE-GGA) for a relaxed Ac3SnI3 crystal.

Geometry as extended XYZ:
```
28
Lattice="-6.738 6.738 6.738 6.738 -6.738 6.738 6.738 6.738 -6.738" Properties=species:S:1:pos:R:3 pbc="T T T"
Ac 1.815 1.684 -1.554
Ac 8.292 1.815 -1.684
Ac 1.684 -1.554 1.815
Ac 5.183 4.923 -1.684
Ac 4.923 1.684 1.554
Ac -1.554 1.815 1.684
Ac 4.923 -1.684 5.183
Ac 1.684 1.554 4.923
Ac 1.554 4.923 1.684
Ac 1.815 -1.684 8.292
Ac -1.684 8.292 1.815
Ac -1.684 5.183 4.923
Sn 5.053 1.684 -1.684
Sn 1.684 1.684 1.684
Sn 1.684 -1.684 5.053
Sn -1.684 5.053 1.684
I 8.422 1.608 1.761
I 8.422 -1.608 4.977
I 4.977 8.422 -1.608
I 5.130 1.761 5.053
I 5.053 5.130 1.761
I 1.761 8.422 1.608
I 8.346 4.977 5.053
I 1.761 5.053 5.130
I 1.608 1.761 8.422
I 5.053 8.346 4.977
I -1.608 4.977 8.422
I 4.977 5.053 8.346
```



Run B
Density functional theory data (PBE-GGA) for a relaxed Ac3SnI3 crystal.

Geometry as extended XYZ:
```
7
Lattice="6.716 0.000 0.000 0.000 6.716 0.000 0.000 0.000 6.716" Properties=species:S:1:pos:R:3 pbc="T T T"
Ac 0.000 0.000 3.358
Ac 0.000 3.358 0.000
Ac 3.358 0.000 0.000
Sn 0.000 0.000 0.000
I 0.000 3.358 3.358
I 3.358 0.000 3.358
I 3.358 3.358 0.000
```



Energetically preferred structure: run A | next structure: +68 meV per atom



Run A
Density functional theory data (PBE-GGA) for a relaxed Ac2SnI crystal.

Geometry as extended XYZ:
```
4
Lattice="0.000 4.125 4.125 4.125 0.000 4.125 4.125 4.125 0.000" Properties=species:S:1:pos:R:3 pbc="T T T"
Ac 2.063 2.063 2.063
Ac 6.188 6.188 6.188
Sn 0.000 0.000 0.000
I 4.125 4.125 4.125
```



Run B
Density functional theory data (PBE-GGA) for a relaxed Ac2SnI crystal.

Geometry as extended XYZ:
```
4
Lattice="2.466 1.424 9.963 -2.466 1.424 9.963 0.000 -2.848 9.963" Properties=species:S:1:pos:R:3 pbc="T T T"
Ac 0.000 0.000 3.300
Ac 0.000 0.000 26.589
Sn 0.000 0.000 14.945
I 0.000 0.000 0.000
```



Energetically preferred structure: run A | next structure: +127 meV per atom



Run A
Density functional theory data (PBE-GGA) for a relaxed Ac2SnI crystal.

Geometry as extended XYZ:
```
8
Lattice="4.831 0.000 0.000 0.000 8.277 0.000 0.000 0.000 8.260" Properties=species:S:1:pos:R:3 pbc="T T T"
Ac 1.208 0.037 1.820
Ac 1.208 4.102 1.820
Ac 3.624 4.175 6.439
Ac 3.624 8.240 6.439
Sn 1.208 6.208 7.469
Sn 3.624 2.069 0.790
I 1.208 2.069 4.785
I 3.624 6.208 3.475
```



Run B
Density functional theory data (PBE-GGA) for a relaxed Ac2SnI crystal.

Geometry as extended XYZ:
```
4
Lattice="4.032 0.000 0.000 0.000 4.032 0.000 0.000 0.000 8.687" Properties=species:S:1:pos:R:3 pbc="T T T"
Ac 0.000 0.000 1.998
Ac 0.000 0.000 6.689
Sn 2.016 2.016 0.000
I 2.016 2.016 4.344
```



Run C
Density functional theory data (PBE-GGA) for a relaxed Ac2SnI crystal.

Geometry as extended XYZ:
```
4
Lattice="2.383 1.376 8.386 -2.383 1.376 8.386 0.000 -2.752 8.386" Properties=species:S:1:pos:R:3 pbc="T T T"
Ac 0.000 0.000 0.000
Ac 0.000 0.000 4.846
Sn 0.000 0.000 15.030
I 0.000 0.000 10.759
```



Energetically preferred structure: run C | next structure: +46 meV per atom



Run A
Density functional theory data (PBE-GGA) for a relaxed SrAcI crystal.

Geometry as extended XYZ:
```
12
Lattice="0.000 7.034 10.299 4.090 0.000 10.299 4.090 7.034 0.000" Properties=species:S:1:pos:R:3 pbc="T T T"
Sr 1.022 1.758 0.108
Sr 1.022 1.758 5.041
Sr 7.157 12.309 15.557
Sr 7.157 12.309 20.490
Ac 3.067 5.275 5.204
Ac 3.067 5.275 10.244
Ac 5.112 8.792 10.354
Ac 5.112 8.792 15.394
I 3.067 2.862 7.724
I 5.112 6.379 12.874
I 3.067 7.688 7.724
I 5.112 11.205 12.874
```



Run B
Density functional theory data (PBE-GGA) for a relaxed SrAcI crystal.

Geometry as extended XYZ:
```
3
Lattice="4.213 0.000 0.000 -2.107 3.649 0.000 0.000 0.000 8.513" Properties=species:S:1:pos:R:3 pbc="T T T"
Sr 0.000 0.000 0.000
Ac 2.107 1.216 3.285
I 0.000 2.432 5.918
```



Energetically preferred structure: run B | next structure: +290 meV per atom



Run A
Density functional theory data (PBE-GGA) for a relaxed Sr2AcI crystal.

Geometry as extended XYZ:
```
4
Lattice="2.097 1.211 11.743 -2.097 1.211 11.743 0.000 -2.422 11.743" Properties=species:S:1:pos:R:3 pbc="T T T"
Sr 0.000 0.000 8.438
Sr 0.000 0.000 26.790
Ac 0.000 0.000 0.000
I 0.000 0.000 17.614
```



Run B
Density functional theory data (PBE-GGA) for a relaxed Sr2AcI crystal.

Geometry as extended XYZ:
```
4
Lattice="4.028 0.000 0.000 0.000 4.028 0.000 0.000 0.000 10.966" Properties=species:S:1:pos:R:3 pbc="T T T"
Sr 0.000 0.000 2.463
Sr 0.000 0.000 8.503
Ac 2.014 2.014 5.483
I 2.014 2.014 0.000
```



Energetically preferred structure: run A | next structure: +61 meV per atom



Run A
Density functional theory data (PBE-GGA) for a relaxed AcTe2I crystal.

Geometry as extended XYZ:
```
4
Lattice="4.525 0.000 0.000 0.000 4.525 0.000 0.000 0.000 7.195" Properties=species:S:1:pos:R:3 pbc="T T T"
Ac 0.000 0.000 0.000
Te 2.262 2.262 1.416
Te 2.262 2.262 5.779
I 0.000 0.000 3.597
```



Run B
Density functional theory data (PBE-GGA) for a relaxed AcTe2I crystal.

Geometry as extended XYZ:
```
4
Lattice="2.535 1.463 9.197 -2.535 1.463 9.197 0.000 -2.927 9.197" Properties=species:S:1:pos:R:3 pbc="T T T"
Ac 0.000 0.000 0.000
Te 0.000 0.000 10.826
Te 0.000 0.000 16.766
I 0.000 0.000 13.796
```



Energetically preferred structure: run A | next structure: +141 meV per atom



Run A
Density functional theory data (PBE-GGA) for a relaxed AcTeI crystal.

Geometry as extended XYZ:
```
3
Lattice="-2.170 2.170 5.670 2.170 -2.170 5.670 2.170 2.170 -5.670" Properties=species:S:1:pos:R:3 pbc="T T T"
Ac 0.000 0.000 0.000
Te 0.000 0.000 7.213
I 0.000 0.000 3.686
```



Run B
Density functional theory data (PBE-GGA) for a relaxed AcTeI crystal.

Geometry as extended XYZ:
```
3
Lattice="0.000 3.979 3.979 3.979 0.000 3.979 3.979 3.979 0.000" Properties=species:S:1:pos:R:3 pbc="T T T"
Ac 0.000 0.000 0.000
Te 1.990 1.990 1.990
I 5.969 5.969 5.969
```



Run C
Density functional theory data (PBE-GGA) for a relaxed AcTeI crystal.

Geometry as extended XYZ:
```
12
Lattice="0.000 6.432 7.866 5.464 0.000 7.866 5.464 6.432 0.000" Properties=species:S:1:pos:R:3 pbc="T T T"
Ac 4.098 0.929 5.899
Ac 6.830 4.145 9.832
Ac 4.098 8.719 5.899
Ac 6.830 11.935 9.832
Te 4.098 4.824 0.164
Te 6.830 8.040 4.097
Te 4.098 4.824 11.635
Te 6.830 8.040 15.568
I 5.464 3.216 3.933
I 2.732 6.432 3.933
I 2.732 3.216 7.866
I 5.464 6.432 7.866
```



Run D
Density functional theory data (PBE-GGA) for a relaxed AcTeI crystal.

Geometry as extended XYZ:
```
6
Lattice="4.878 0.000 0.000 0.000 6.526 0.000 -0.074 0.000 9.698" Properties=species:S:1:pos:R:3 pbc="T T T"
Ac 1.179 1.631 3.428
Ac 3.626 4.894 6.270
Te 1.186 4.894 3.984
Te 3.619 1.631 5.715
I 1.186 4.894 8.498
I 3.619 1.631 1.200
```



Energetically preferred structure: run D | next structure: +50 meV per atom